No. 1
Tl2PbW | PBE | optimized geometry

Lattice parameters (Å, degrees): 4.525 4.525 9.389 90.00 90.00 90.00
Space group I-4m2 (No. 119)
Asymmetric unit:
Tl (0.000, 0.000, 0.000) [2 per cell]
Tl (0.000, 0.500, 0.250) [2 per cell]
Pb (0.000, 0.000, 0.500) [2 per cell]
W (0.000, 0.500, 0.750) [2 per cell]

Energy of formation ... 1047.6 meV/atom
M_tot ... 2.943 μB/cell

No. 2
TlPb2W | PBE | optimized geometry

Lattice parameters (Å, degrees): 7.086 8.829 3.154 90.00 90.00 90.00
Space group Cmmm (No. 65)
Asymmetric unit:
Tl (0.000, 0.000, 0.000) [2 per cell]
Pb (0.250, 0.250, 0.500) [4 per cell]
W (0.000, 0.500, 0.000) [2 per cell]

Energy of formation ... 1008.3 meV/atom
M_tot ... 0.000 μB/cell

No. 3
TlPbW2 | PBE | optimized geometry

Lattice parameters (Å, degrees): 5.892 9.382 2.945 90.00 90.00 90.00
Space group Cmmm (No. 65)
Asymmetric unit:
Tl (0.000, 0.000, 0.000) [2 per cell]
Pb (0.000, 0.500, 0.000) [2 per cell]
W (0.250, 0.250, 0.500) [4 per cell]

Energy of formation ... 1420.6 meV/atom
M_tot ... 0.001 μB/cell

No. 4
TlPbW2 | PBE | optimized geometry

Lattice parameters (Å, degrees): 3.414 4.986 5.461 90.00 96.03 90.00
Space group P2/m (No. 10)
Asymmetric unit:
Tl (0.000, 0.000, 0.000) [1 per cell]
Pb (0.500, 0.000, 0.500) [1 per cell]
W (0.298, 0.500, 0.171) [2 per cell]

Energy of formation ... 1063.9 meV/atom
M_tot ... 0.000 μB/cell

No. 5
TlPb2W | PBE | optimized geometry

Lattice parameters (Å, degrees): 4.681 4.681 9.110 90.00 90.00 90.00
Space group I4/mmm (No. 139)
Asymmetric unit:
Tl (0.000, 0.000, 0.000) [2 per cell]
Pb (0.000, 0.500, 0.250) [4 per cell]
W (0.000, 0.000, 0.500) [2 per cell]

Energy of formation ... 1034.6 meV/atom
M_tot ... 3.909 μB/cell

No. 6
TlPb2W | PBE | optimized geometry

Lattice parameters (Å, degrees): 3.112 4.864 14.498 90.00 90.00 90.00
Space group Imm2 (No. 44)
Asymmetric unit:
Tl (0.000, 0.000, 0.000) [2 per cell]
Pb (0.000, 0.000, 0.365) [2 per cell]
Pb (0.000, 0.500, 0.181) [2 per cell]
W (0.000, 0.500, 0.686) [2 per cell]

Energy of formation ... 688.5 meV/atom
M_tot ... 0.000 μB/cell

No. 7
TlPb2W | PBE | optimized geometry

Lattice parameters (Å, degrees): 4.450 4.450 21.456 90.00 90.00 90.00
Space group I-42d (No. 122)
Asymmetric unit:
Tl (0.000, 0.000, 0.000) [4 per cell]
Pb (0.240, 0.250, 0.625) [8 per cell]
W (0.000, 0.000, 0.500) [4 per cell]

Energy of formation ... 1163.9 meV/atom
M_tot ... 8.460 μB/cell

No. 8
Tl2PbW | PBE | optimized geometry

Lattice parameters (Å, degrees): 6.148 10.662 3.163 90.00 111.55 90.00
Space group C2/m (No. 12)
Asymmetric unit:
Tl (0.250, 0.250, 0.000) [4 per cell]
Pb (0.000, 0.000, 0.500) [2 per cell]
W (0.000, 0.500, 0.500) [2 per cell]

Energy of formation ... 1024.8 meV/atom
M_tot ... 0.000 μB/cell

| no. | ΔE to the lowest computed polymorph (eV per atom) | D(E_F) (states/eV/f.u.) |
| --- | --- | --- |
| 1 | 0.375 | 2.95 |
| 2 | 0.377 | 3.87 |
| 3 | 0.834 | 5.00 |
| 4 | 0.477 | 1.98 |
| 5 | 0.403 | 3.07 |
| 6 | 0.057 | 1.29 |
| 7 | 0.532 | 3.15 |
| 8 | 0.353 | 3.68 |